Computed, not measured: crystalline NaZnN2 at its relaxed geometry at the PBE level of DFT. Values from VASP.

Crystal system: tetragonal
Formation energy (no corrections) (meV/atom): 900.4
Theoretical density (g/cm³): 3.56

```
&SYSTEM
  ibrav = 0, nat = 8, ntyp = 3
/
ATOMIC_SPECIES
Na 22.99 Na.upf
Zn 65.41 Zn.upf
N 14.01 N.upf
ATOMIC_POSITIONS crystal
Na 0.000 0.000 0.000
Na 0.750 0.250 0.500
Zn 0.250 0.750 0.500
Zn 0.500 0.500 0.000
N 0.269 0.625 0.144
N 0.375 0.519 0.644
N 0.481 0.125 0.856
N 0.875 0.731 0.356
CELL_PARAMETERS angstrom
-2.068 2.068 6.354
2.068 -2.068 6.354
2.068 2.068 -6.354
```